(1)
12
Lattice="8.730 0.000 0.000 0.000 3.746 0.000 -0.143 0.000 11.738" Properties=species:S:1:pos:R:3 comment="Nd3Dy2In | the Alexandria database | PBE | optimized geometry" final_energy_ha_per_atom=-0.165 polymorph_energy_ev_per_atom=0.030 total_magnetization_mub_per_fu=0.0 pbc="T T T"
Nd 0.810 0.936 1.207
Nd 2.934 2.809 6.702
Nd 3.386 2.809 2.940
Nd 5.201 0.936 8.798
Nd 5.652 0.936 5.035
Nd 7.777 2.809 10.531
Dy 0.673 0.936 4.614
Dy 2.967 2.809 10.896
Dy 5.619 0.936 0.841
Dy 7.913 2.809 7.123
In 1.297 0.936 8.871
In 7.289 2.809 2.867

***

(2)
16
Lattice="6.102 0.000 0.000 0.000 6.024 0.000 -5.033 0.000 9.974" Properties=species:S:1:pos:R:3 comment="Ca2HAu | the Alexandria database | PBE | optimized geometry" final_energy_ha_per_atom=-0.117 polymorph_energy_ev_per_atom=0.000 total_magnetization_mub_per_fu=0.0 pbc="T T T"
Ca -0.344 1.459 0.851
Ca -2.860 4.565 5.838
Ca -2.313 1.282 8.455
Ca 0.203 4.742 3.468
Ca 0.866 1.282 6.507
Ca 3.382 4.742 1.520
Ca 3.929 1.459 4.137
Ca 1.413 4.565 9.124
H -2.998 0.808 6.241
H -0.482 5.216 1.254
H 1.551 0.808 8.721
H 4.067 5.216 3.733
Au 0.859 1.770 3.569
Au -1.657 4.253 8.557
Au 2.726 1.770 1.418
Au 0.210 4.253 6.405

***

(3)
10
Lattice="-3.535 3.535 4.569 3.535 -3.535 4.569 3.535 3.535 -4.569" Properties=species:S:1:pos:R:3 comment="KRb2IF6 | the Alexandria database | PBE | optimized geometry" e_form_raw_ev_per_atom=-2.04 final_energy_ha_per_atom=-0.133 polymorph_energy_ev_per_atom=0.188 total_magnetization_mub_per_fu=2.0 pbc="T T T"
K 0.000 0.000 0.000
Rb 3.535 0.000 2.284
Rb 0.000 3.535 2.284
I 0.000 0.000 4.569
F 1.789 1.789 0.000
F 1.746 -1.746 4.569
F 0.000 0.000 2.523
F 0.000 0.000 6.614
F -1.746 1.746 4.569
F 1.746 1.746 4.569

***

(4)
5
Lattice="5.060 0.000 0.000 0.000 5.060 0.000 0.000 0.000 5.060" Properties=species:S:1:pos:R:3 comment="RbN3F | the Alexandria database | PBE | optimized geometry" e_form_raw_ev_per_atom=2.71 final_energy_ha_per_atom=-0.105 total_magnetization_mub_per_fu=9.0 pbc="T T T"
Rb 0.000 0.000 0.000
N 0.000 0.000 2.530
N 0.000 2.530 0.000
N 2.530 0.000 0.000
F 2.530 2.530 2.530

***

(5)
5
Lattice="5.129 0.000 0.000 0.000 5.129 0.000 0.000 0.000 5.129" Properties=species:S:1:pos:R:3 comment="GePb3F | the Alexandria database | PBE | optimized geometry" e_form_raw_ev_per_atom=-0.32 final_energy_ha_per_atom=-0.141 polymorph_energy_ev_per_atom=0.000 total_magnetization_mub_per_fu=0.0 pbc="T T T"
Ge 0.000 0.000 0.000
Pb 0.000 2.565 2.565
Pb 2.565 0.000 2.565
Pb 2.565 2.565 0.000
F 2.565 2.565 2.565

***

(6)
8
Lattice="5.989 0.000 0.000 0.000 3.532 0.000 -2.040 0.000 5.742" Properties=species:S:1:pos:R:3 comment="Na2NdSbO4 | the Alexandria database | PBE | optimized geometry" e_form_raw_ev_per_atom=-1.94 final_energy_ha_per_atom=-0.215 total_magnetization_mub_per_fu=0.0 pbc="T T T"
Na 0.000 0.000 0.000
Na -1.020 1.766 2.871
Nd 1.975 0.000 2.871
Sb 2.995 1.766 0.000
O 0.103 0.000 4.367
O 1.172 1.766 1.472
O 2.778 1.766 4.269
O 3.847 0.000 1.375

***

(7)
7
Lattice="2.241 1.294 7.461 -2.241 1.294 7.461 0.000 -2.587 7.461" Properties=species:S:1:pos:R:3 comment="Sc3Cu4 | the Alexandria database | PBE | optimized geometry" final_energy_ha_per_atom=-0.186 polymorph_energy_ev_per_atom=0.199 total_magnetization_mub_per_fu=0.0 pbc="T T T"
Sc 0.000 0.000 0.000
Sc 0.000 0.000 5.463
Sc 0.000 0.000 16.922
Cu 0.000 0.000 2.756
Cu 0.000 0.000 8.245
Cu 0.000 0.000 14.139
Cu 0.000 0.000 19.629

***

(8)
10
Lattice="6.979 -3.936 0.000 6.979 3.936 0.000 -0.012 0.000 6.401" Properties=species:S:1:pos:R:3 comment="In3TeCl | the Alexandria database | PBE | optimized geometry" e_form_raw_ev_per_atom=-0.33 final_energy_ha_per_atom=-0.109 polymorph_energy_ev_per_atom=0.000 total_magnetization_mub_per_fu=0.0 pbc="T T T"
In 1.369 0.000 1.600
In 5.249 0.138 1.600
In 3.793 -1.184 4.801
In 8.696 0.138 4.801
In 10.152 -1.184 1.600
In 12.576 0.000 4.801
Te 5.387 -2.925 1.600
Te 8.558 -2.925 4.801
Cl 5.994 0.782 4.801
Cl 7.951 0.782 1.600

***

(9)
80
Lattice="-5.926 5.926 5.926 5.926 -5.926 5.926 5.926 5.926 -5.926" Properties=species:S:1:pos:R:3 comment="Si5Ag3O12 | the Alexandria database | PBE | optimized geometry" e_form_raw_ev_per_atom=-1.86 final_energy_ha_per_atom=-0.243 total_magnetization_mub_per_fu=0.1 pbc="T T T"
Si 0.000 0.000 0.000
Si 2.963 2.963 -2.963
Si 2.963 -2.963 2.963
Si 5.926 0.000 0.000
Si 8.889 1.482 0.000
Si 5.926 -2.963 4.445
Si 4.445 5.926 -2.963
Si 4.445 0.000 2.963
Si 2.963 4.445 0.000
Si 5.926 2.963 1.482
Si -2.963 2.963 2.963
Si 0.000 5.926 0.000
Si 0.000 0.000 5.926
Si 2.963 2.963 2.963
Si 0.000 2.963 4.445
Si 2.963 1.482 5.926
Si 1.482 5.926 2.963
Si 1.482 0.000 8.889
Si 0.000 8.889 1.482
Si -2.963 4.445 5.926
Ag 2.963 1.482 0.000
Ag 5.926 2.963 -1.482
Ag 1.482 0.000 2.963
Ag 7.408 0.000 2.963
Ag 0.000 2.963 1.482
Ag 2.963 -1.482 5.926
Ag 2.963 7.408 0.000
Ag 5.926 2.963 4.445
Ag -1.482 5.926 2.963
Ag 4.445 5.926 2.963
Ag 0.000 2.963 7.408
Ag 2.963 4.445 5.926
O 4.683 -3.385 3.416
O 10.132 0.453 -0.422
O 7.646 0.453 0.422
O 7.169 -2.541 3.416
O 8.467 2.510 -1.243
O 6.348 -4.206 5.473
O 3.416 4.683 -3.385
O 5.473 -0.422 1.720
O 5.473 6.348 -4.206
O 3.416 -1.243 3.385
O 3.385 3.416 -1.243
O 5.504 1.720 0.453
O 9.311 2.510 1.243
O 5.504 -1.720 5.473
O 5.473 5.504 -1.720
O 3.416 1.243 2.541
O 3.416 7.169 -2.541
O 5.473 0.422 4.206
O 2.541 3.416 1.243
O 6.348 4.206 0.453
O 1.720 5.473 -0.422
O 7.169 2.541 2.510
O 4.206 5.473 0.422
O 4.683 3.385 2.510
O 1.243 2.541 3.416
O 1.720 0.453 5.504
O -1.243 3.385 3.416
O 4.206 0.453 6.348
O -0.422 1.720 5.473
O 3.385 2.510 4.683
O 0.453 5.504 1.720
O 2.510 -1.243 8.467
O 2.510 4.683 3.385
O 0.453 0.422 7.646
O 0.422 7.646 0.453
O -3.385 3.416 4.683
O 0.422 4.206 5.473
O 2.541 2.510 7.169
O 2.510 7.169 2.541
O 0.453 -0.422 10.132
O 0.453 6.348 4.206
O 2.510 1.243 9.311
O -0.422 10.132 0.453
O -2.541 3.416 7.169
O -1.243 8.467 2.510
O -1.720 5.473 5.504
O -4.206 5.473 6.348
O 1.243 9.311 2.510

***

(10)
11
Lattice="3.304 -5.970 0.000 3.304 5.970 0.000 0.000 0.000 9.615" Properties=species:S:1:pos:R:3 comment="Sm7Er2Tm2 | the Alexandria database | PBE | optimized geometry" final_energy_ha_per_atom=-0.158 polymorph_energy_ev_per_atom=0.198 total_magnetization_mub_per_fu=0.0 pbc="T T T"
Sm 0.000 0.000 0.000
Sm 1.652 2.985 3.020
Sm 1.652 2.985 6.595
Sm 1.652 -2.985 3.020
Sm 1.652 -2.985 6.595
Sm 3.304 0.000 1.778
Sm 3.304 0.000 7.836
Er 1.657 0.000 4.807
Er 4.951 0.000 4.807
Tm 3.304 2.728 0.000
Tm 3.304 -2.728 0.000

***

(11)
5
Lattice="4.779 0.000 0.000 0.000 4.779 0.000 0.000 0.000 4.137" Properties=species:S:1:pos:R:3 comment="YTcNi2N | the Alexandria database | PBE | optimized geometry" e_form_raw_ev_per_atom=1.69 final_energy_ha_per_atom=-0.208 total_magnetization_mub_per_fu=4.3 pbc="T T T"
Y 0.000 0.000 0.000
Tc 2.390 2.390 2.069
Ni 0.000 2.390 0.000
Ni 2.390 0.000 0.000
N 0.000 0.000 2.069

***

(12)
11
Lattice="0.000 4.786 7.832 2.840 0.000 7.832 2.840 4.786 0.000" Properties=species:S:1:pos:R:3 comment="Ce2Ga4Pd5 | the Alexandria database | PBE | optimized geometry" final_energy_ha_per_atom=-0.192 total_magnetization_mub_per_fu=2.1 pbc="T T T"
Ce 2.840 4.786 2.088
Ce 2.840 4.786 13.575
Ga 2.840 3.294 5.808
Ga 2.840 3.294 9.855
Ga 2.840 6.278 5.808
Ga 2.840 6.278 9.855
Pd 1.420 2.393 0.000
Pd 1.420 2.393 3.916
Pd 1.420 2.393 7.832
Pd 2.840 4.786 7.832
Pd 4.260 7.179 11.747